# 1
Below is a relaxed structure of TaTc2Os, with properties calculated at the PBE-GGA level.

## Properties
E_form ... 0.01 eV per atom
Symmetry ... Immm
Energy above the most stable polymorph in this dataset ... 55 meV/atom

Cell lengths 5.2002, 5.2002, 5.2002 Å; angles 144.73, 129.52, 63.07 degrees
Fractional positions:
1 Os 0.7500 0.2500 0.5000
2 Ta 0.2500 0.7500 0.5000
3 Tc 0.0122 0.0122 0.0000
4 Tc 0.4878 0.4878 0.0000

# 2
Below is a relaxed structure of Li5Ce3F12, with properties calculated at the PBE-GGA level.

## Properties
Symmetry ... Ia-3d
Energy relative to the elements, uncorrected ... -316 kJ per mole of atoms

Cell lengths 11.0803, 11.0803, 11.0803 Å; angles 109.47, 109.47, 109.47 degrees
Fractional positions:
1 Ce 0.7500 0.3750 0.1250
2 Ce 0.8750 0.7500 0.1250
3 Ce 0.3750 0.7500 0.6250
4 Ce 0.2500 0.1250 0.3750
5 Ce 0.8750 0.1250 0.2500
6 Ce 0.3750 0.6250 0.2500
7 Ce 0.6250 0.3750 0.7500
8 Ce 0.1250 0.8750 0.7500
9 Ce 0.7500 0.8750 0.6250
10 Ce 0.6250 0.2500 0.3750
11 Ce 0.1250 0.2500 0.8750
12 Ce 0.2500 0.6250 0.8750
13 Li 0.1250 0.3750 0.2500
14 Li 0.0000 0.5000 0.0000
15 Li 0.0000 0.0000 0.0000
16 Li 0.3750 0.2500 0.1250
17 Li 0.5000 0.0000 0.5000
18 Li 0.5000 0.5000 0.0000
19 Li 0.1250 0.7500 0.3750
20 Li 0.7500 0.1250 0.8750
21 Li 0.7500 0.6250 0.3750
22 Li 0.3750 0.1250 0.7500
23 Li 0.6250 0.8750 0.2500
24 Li 0.5000 0.5000 0.5000
25 Li 0.5000 0.0000 0.0000
26 Li 0.0000 0.0000 0.5000
27 Li 0.2500 0.3750 0.6250
28 Li 0.2500 0.8750 0.1250
29 Li 0.0000 0.5000 0.5000
30 Li 0.8750 0.2500 0.6250
31 Li 0.6250 0.7500 0.8750
32 Li 0.8750 0.6250 0.7500
33 F 0.7065 0.1181 0.0219
34 F 0.3154 0.5219 0.4038
35 F 0.9781 0.3819 0.2935
36 F 0.5219 0.2065 0.1181
37 F 0.5885 0.7065 0.6846
38 F 0.9781 0.5962 0.1846
39 F 0.3154 0.7935 0.4115
40 F 0.0962 0.9115 0.1181
41 F 0.5962 0.9781 0.6846
42 F 0.7065 0.5885 0.1846
43 F 0.7935 0.4781 0.3819
44 F 0.8154 0.9038 0.0219
45 F 0.1181 0.7065 0.5219
46 F 0.3819 0.4038 0.0885
47 F 0.0885 0.9038 0.3819
48 F 0.4115 0.1181 0.5962
49 F 0.0885 0.1846 0.2065
50 F 0.4781 0.6846 0.0962
51 F 0.8154 0.9115 0.2935
52 F 0.1181 0.4115 0.0962
53 F 0.3819 0.9781 0.7935
54 F 0.5962 0.6181 0.4115
55 F 0.9038 0.8154 0.5219
56 F 0.7935 0.3154 0.9115
57 F 0.4038 0.3819 0.5885
58 F 0.0962 0.1846 0.4781
59 F 0.2065 0.6846 0.0885
60 F 0.1846 0.0885 0.7065
61 F 0.6181 0.0219 0.2065
62 F 0.8819 0.5885 0.9038
63 F 0.5219 0.3154 0.9038
64 F 0.5885 0.8819 0.4038
65 F 0.9115 0.8154 0.7935
66 F 0.9115 0.0962 0.6181
67 F 0.8819 0.2935 0.4781
68 F 0.1846 0.0962 0.9781
69 F 0.6181 0.5962 0.9115
70 F 0.4038 0.0219 0.3154
71 F 0.2935 0.4115 0.8154
72 F 0.2065 0.5219 0.6181
73 F 0.9038 0.0885 0.8819
74 F 0.6846 0.2065 0.5885
75 F 0.4781 0.7935 0.8819
76 F 0.0219 0.4038 0.8154
77 F 0.4115 0.2935 0.3154
78 F 0.0219 0.6181 0.7065
79 F 0.6846 0.4781 0.5962
80 F 0.2935 0.8819 0.9781

# 3
Below is a relaxed structure of Tl2InW, with properties calculated at the PBE-GGA level.

## Properties
E_form ... 0.91 eV per atom
Symmetry ... Cmmm
Energy above the most stable polymorph in this dataset ... 297 meV/atom

Cell lengths 5.5007, 5.5007, 3.0277 Å; angles 90.00, 90.00, 99.47 degrees
Fractional positions:
1 In 0.0000 0.5000 0.5000
2 Tl 0.0000 0.0000 0.0000
3 Tl 0.5000 0.5000 0.0000
4 W 0.5000 0.0000 0.5000

# 4
Below is a relaxed structure of Ti3HF, with properties calculated at the PBE-GGA level.

## Properties
Symmetry ... Pm-3m
Energy above the most stable polymorph in this dataset ... 0 meV/atom

Cell lengths 4.0191, 4.0191, 4.0191 Å; angles 90.00, 90.00, 90.00 degrees
Fractional positions:
1 H 0.0000 0.0000 0.0000
2 F 0.5000 0.5000 0.5000
3 Ti 0.0000 0.5000 0.0000
4 Ti 0.0000 0.0000 0.5000
5 Ti 0.5000 0.0000 0.0000

# 5
Below is a relaxed structure of ZrSc2S3, with properties calculated at the PBE-GGA level.

## Properties
Symmetry ... P6_3/mmc
Energy relative to the elements, uncorrected ... -165 kJ per mole of atoms

Cell lengths 3.6140, 3.6140, 18.9480 Å; angles 90.00, 90.00, 120.00 degrees
Fractional positions:
1 Zr 0.0000 0.0000 0.7500
2 Zr 0.0000 0.0000 0.2500
3 Sc 0.6667 0.3333 0.0769
4 Sc 0.3333 0.6667 0.9231
5 Sc 0.3333 0.6667 0.5769
6 Sc 0.6667 0.3333 0.4231
7 S 0.0000 0.0000 0.0000
8 S 0.6667 0.3333 0.8363
9 S 0.6667 0.3333 0.6637
10 S 0.0000 0.0000 0.5000
11 S 0.3333 0.6667 0.3363
12 S 0.3333 0.6667 0.1637

# 6
Below is a relaxed structure of Tb2Al4CdAu3, with properties calculated at the PBE-GGA level.

## Properties
E_form ... -0.62 eV per atom
Symmetry ... P-4m2

Cell lengths 4.2968, 4.2968, 10.9816 Å; angles 90.00, 90.00, 90.00 degrees
Fractional positions:
1 Tb 0.5000 0.0000 0.2467
2 Tb 0.0000 0.5000 0.7533
3 Al 0.5000 0.5000 0.0000
4 Al 0.0000 0.0000 0.0000
5 Al 0.5000 0.0000 0.6439
6 Al 0.0000 0.5000 0.3561
7 Cd 0.5000 0.5000 0.5000
8 Au 0.0000 0.0000 0.5000
9 Au 0.5000 0.0000 0.8685
10 Au 0.0000 0.5000 0.1315

M_tot (computed, μB per formula unit): 0.0 5.0 0.0 0.0 0.0 0.0
DOS at the Fermi energy (computed, states/eV/cell): 3.8 88.3 2.9 4.7 3.8 5.2